1.
Computed, not measured: a geometry-optimized Ag3P6H12N3O19 structure at the PBE level of DFT.

DFT total energy ... -5.890 eV per atom
ρ ... 3.306 Mg/m³

Cell: 14.6325 14.6325 14.0983 Å, 90.00 90.00 120.00°
Closest atoms and distances in Å follow each position.
Space group R-3 (No. 148, hexagonal axes)
Symmetry-distinct sites (fractional):
Ag1 0.0319 0.6242 0.4358 (multiplicity 18)  5 O 2.26-2.41
P1 0.0536 0.8431 0.5340 (multiplicity 18)  4 O 1.49-1.62
P2 0.0589 0.8475 0.9674 (multiplicity 18)  4 O 1.50-1.61
H1 0.0145 0.9027 0.2363 (multiplicity 18)  1 N 1.09
H2 0.0172 0.2216 0.7145 (multiplicity 18)  1 N 1.03
H3 0.0861 0.5774 0.8806 (multiplicity 18)  1 N 1.03
H4 0.0911 0.8912 0.3202 (multiplicity 18)  1 N 1.04
N1 0.0422 0.8511 0.2635 (multiplicity 18)  4 H 1.03-1.09
O1 0.0000 0.0000 0.2120 (multiplicity 6)  3 H 1.58
O2 0.0026 0.8048 0.6284 (multiplicity 18)  1 P 1.49
O3 0.0163 0.5550 0.1545 (multiplicity 18)  1 P 1.50
O4 0.0282 0.6085 0.6763 (multiplicity 18)  1 P 1.50
O5 0.0314 0.1620 0.5427 (multiplicity 18)  2 P 1.61-1.62
O6 0.0571 0.1686 0.0426 (multiplicity 18)  2 P 1.60-1.61
O7 0.1063 0.5556 0.5381 (multiplicity 18)  1 P 1.51

***

2.
Computed, not measured: a geometry-optimized Ag2H6PdS2N2O6 structure at the PBE level of DFT.

DFT total energy ... -5.195 eV per atom
ρ ... 4.338 Mg/m³

Cell: 6.9302 5.8451 10.2627 Å, 90.00 108.04 90.00°
Closest atoms and distances in Å follow each position.
Space group P2_1/c (No. 14)
Symmetry-distinct sites (fractional):
Ag1 0.0753 0.2199 0.3540 (multiplicity 4)  4 O 2.29-2.50
H1 0.2993 0.0634 0.6807 (multiplicity 4)  1 N 1.02
H2 0.3493 0.1842 0.1240 (multiplicity 4)  1 N 1.03
H3 0.4688 0.6698 0.7594 (multiplicity 4)  1 N 1.03
Pd1 0.5000 0.0000 0.5000 (multiplicity 2)  2 N 2.08, 2 S 2.30
S1 0.2517 0.7249 0.4675 (multiplicity 4)  3 O 1.50-1.53
N1 0.4072 0.1546 0.6535 (multiplicity 4)  3 H 1.02-1.03
O1 0.0478 0.6658 0.8923 (multiplicity 4)  1 S 1.53
O2 0.2393 0.6360 0.6023 (multiplicity 4)  1 S 1.51
O3 0.2859 0.5303 0.3821 (multiplicity 4)  1 S 1.50